TbHo2Be GGA-PBE relaxed; formation enthalpy at 0 K = 6 kJ per mole of atoms; SG = P4/mmm (123)
1.0
-1.736 2.105 -2.115
-2.669 -2.190 0.011
-3.303 4.060 6.752
Be Tb Ho
1 1 2
Direct
0.500 0.500 0.000 Be
0.500 0.500 0.500 Tb
0.000 0.000 0.807 Ho
0.000 0.000 0.193 Ho


GdHI GGA-PBE relaxed; SG = I4mm (107); raw total energy = -6.893 eV per atom
1.0
3.585 0.000 0.000
0.000 3.585 0.000
-1.793 -1.793 5.357
I H Gd
1 1 1
Direct
0.012 0.012 0.024 I
0.274 0.274 0.549 H
0.714 0.714 0.427 Gd


Dy2TePb GGA-PBE relaxed; raw formation energy = -0.770 eV/atom; SG = P4/mmm (123)
1.0
3.693 0.000 0.000
0.000 3.693 0.000
0.000 0.000 8.152
Pb Te Dy
1 1 2
Direct
0.500 0.500 0.500 Pb
0.500 0.500 0.000 Te
0.000 0.000 0.764 Dy
0.000 0.000 0.236 Dy


Tb2Ga3Au5 GGA-PBE relaxed; formation enthalpy at 0 K = -58 kJ per mole of atoms; SG = Cmc2_1 (36)
1.0
0.052 4.334 -1.239
-4.442 -1.488 -5.392
-9.689 0.050 7.969
Tb Ga Au
4 6 10
Direct
0.481 0.747 0.962 Tb
0.175 0.740 0.351 Tb
0.825 0.240 0.649 Tb
0.519 0.247 0.038 Tb
0.773 0.713 0.546 Ga
0.603 0.564 0.206 Ga
0.051 0.938 0.102 Ga
0.227 0.213 0.454 Ga
0.949 0.438 0.898 Ga
0.397 0.064 0.794 Ga
0.395 0.440 0.791 Au
0.285 0.515 0.569 Au
0.715 0.015 0.431 Au
0.119 0.231 0.238 Au
0.300 0.925 0.601 Au
0.950 0.052 0.900 Au
0.700 0.425 0.399 Au
0.881 0.731 0.762 Au
0.050 0.552 0.100 Au
0.605 0.940 0.209 Au